This record from Alexandria describes a crystal of TlAuCl2 relaxed with PBEsol. The functional is meta-GGA SCAN.

Values from the calculation:
Total magnetization = 0.0 μB/cell
Offset from the most stable computed form = 1.431 eV/f.u.
Raw formation energy = -0.249 eV per atom
Raw total energy = -39.62 eV/atom

a b c (Å): 7.064 7.064 7.064
angles (deg): 90.00 90.00 90.00
Space group Fm-3m (No. 225)
Inequivalent atoms, fractional coordinates:
Tl1 0.000 0.000 0.000
Au1 0.000 0.000 0.500
Cl1 0.250 0.250 0.250